[1]
# TbDyAsO, optimized geometry, DFT PBE-GGA
data_TbDyAsO
_cell_length_a 4.331
_cell_length_b 4.331
_cell_length_c 8.816
_cell_angle_alpha 90.00
_cell_angle_beta 90.00
_cell_angle_gamma 90.00
_symmetry_space_group_name_H-M 'P 4/n m m'
_symmetry_Int_Tables_number 129
loop_
_symmetry_equiv_pos_as_xyz
'x,y,z'
'-x,-y,-z'
'-y+1/2,x,z'
'y+1/2,-x,-z'
'-x+1/2,-y+1/2,z'
'x+1/2,y+1/2,-z'
'y,-x+1/2,z'
'-y,x+1/2,-z'
'x+1/2,-y,-z'
'-x+1/2,y,z'
'-y,-x,-z'
'y,x,z'
'-x,y+1/2,-z'
'x,-y+1/2,z'
'y+1/2,x+1/2,-z'
'-y+1/2,-x+1/2,z'
loop_
_atom_site_label
_atom_site_fract_x
_atom_site_fract_y
_atom_site_fract_z
Tb1 0.250 0.250 0.102
Dy1 0.250 0.750 0.500
As1 0.250 0.250 0.706
O1 0.250 0.750 0.000
# spin magnetization	0.01	μB/f.u.
# relative energy among the computed polymorphs	79.4	meV per atom


[2]
# TbDyAsO, optimized geometry, DFT PBE-GGA
data_TbDyAsO
_cell_length_a 4.340
_cell_length_b 4.340
_cell_length_c 8.800
_cell_angle_alpha 90.00
_cell_angle_beta 90.00
_cell_angle_gamma 90.00
_symmetry_space_group_name_H-M 'P 4/n m m'
_symmetry_Int_Tables_number 129
loop_
_symmetry_equiv_pos_as_xyz
'x,y,z'
'-x,-y,-z'
'-y+1/2,x,z'
'y+1/2,-x,-z'
'-x+1/2,-y+1/2,z'
'x+1/2,y+1/2,-z'
'y,-x+1/2,z'
'-y,x+1/2,-z'
'x+1/2,-y,-z'
'-x+1/2,y,z'
'-y,-x,-z'
'y,x,z'
'-x,y+1/2,-z'
'x,-y+1/2,z'
'y+1/2,x+1/2,-z'
'-y+1/2,-x+1/2,z'
loop_
_atom_site_label
_atom_site_fract_x
_atom_site_fract_y
_atom_site_fract_z
Tb1 0.250 0.250 0.102
Dy1 0.250 0.750 0.500
As1 0.250 0.250 0.706
O1 0.250 0.750 0.000
# spin magnetization	0.01	μB/f.u.
# relative energy among the computed polymorphs	79.0	meV per atom


[3]
# TbDyAsO, optimized geometry, DFT PBE-GGA
data_TbDyAsO
_cell_length_a 4.317
_cell_length_b 4.317
_cell_length_c 8.856
_cell_angle_alpha 90.00
_cell_angle_beta 90.00
_cell_angle_gamma 90.00
_symmetry_space_group_name_H-M 'P 4/n m m'
_symmetry_Int_Tables_number 129
loop_
_symmetry_equiv_pos_as_xyz
'x,y,z'
'-x,-y,-z'
'-y+1/2,x,z'
'y+1/2,-x,-z'
'-x+1/2,-y+1/2,z'
'x+1/2,y+1/2,-z'
'y,-x+1/2,z'
'-y,x+1/2,-z'
'x+1/2,-y,-z'
'-x+1/2,y,z'
'-y,-x,-z'
'y,x,z'
'-x,y+1/2,-z'
'x,-y+1/2,z'
'y+1/2,x+1/2,-z'
'-y+1/2,-x+1/2,z'
loop_
_atom_site_label
_atom_site_fract_x
_atom_site_fract_y
_atom_site_fract_z
Tb1 0.250 0.750 0.000
Dy1 0.250 0.250 0.400
As1 0.250 0.250 0.792
O1 0.250 0.750 0.500
# spin magnetization	0.00	μB/f.u.
# relative energy among the computed polymorphs	96.3	meV per atom


[4]
# DyTeAsO, optimized geometry, DFT PBE-GGA
data_DyTeAsO
_cell_length_a 4.087
_cell_length_b 4.087
_cell_length_c 10.417
_cell_angle_alpha 90.00
_cell_angle_beta 90.00
_cell_angle_gamma 90.00
_symmetry_space_group_name_H-M 'P 4/n m m'
_symmetry_Int_Tables_number 129
loop_
_symmetry_equiv_pos_as_xyz
'x,y,z'
'-x,-y,-z'
'-y+1/2,x,z'
'y+1/2,-x,-z'
'-x+1/2,-y+1/2,z'
'x+1/2,y+1/2,-z'
'y,-x+1/2,z'
'-y,x+1/2,-z'
'x+1/2,-y,-z'
'-x+1/2,y,z'
'-y,-x,-z'
'y,x,z'
'-x,y+1/2,-z'
'x,-y+1/2,z'
'y+1/2,x+1/2,-z'
'-y+1/2,-x+1/2,z'
loop_
_atom_site_label
_atom_site_fract_x
_atom_site_fract_y
_atom_site_fract_z
Dy1 0.250 0.250 0.097
Te1 0.250 0.750 0.500
As1 0.250 0.250 0.734
O1 0.250 0.750 0.000
# spin magnetization	0.01	μB/f.u.
# relative energy among the computed polymorphs	0.0	meV per atom


[5]
# DyTeAsO6, optimized geometry, DFT PBE-GGA
data_DyTeAsO6
_cell_length_a 5.2964
_cell_length_b 5.2964
_cell_length_c 9.5501
_cell_angle_alpha 90.00
_cell_angle_beta 90.00
_cell_angle_gamma 120.00
_symmetry_space_group_name_H-M 'P -3 1 c'
_symmetry_Int_Tables_number 163
_symmetry_space_group_name_Hall '-P 3 2c'
loop_
_atom_site_label
_atom_site_fract_x
_atom_site_fract_y
_atom_site_fract_z
Dy1 0.0000 0.0000 0.0000
Te1 0.3333 0.6667 0.2500
As1 0.3333 0.6667 0.7500
O1 0.0281 0.3681 0.1349
# spin magnetization	0.00	μB/f.u.
# calculated total energy	-6.37	eV per atom


[6]
# DyTeAsO, optimized geometry, DFT PBE-GGA
data_DyTeAsO
_cell_length_a 3.714
_cell_length_b 7.110
_cell_length_c 7.994
_cell_angle_alpha 90.00
_cell_angle_beta 90.00
_cell_angle_gamma 90.00
_symmetry_space_group_name_H-M 'P m c 21'
_symmetry_Int_Tables_number 26
_symmetry_space_group_name_Hall 'P 2c -2'
loop_
_atom_site_label
_atom_site_fract_x
_atom_site_fract_y
_atom_site_fract_z
Dy1 0.000 0.212 0.000
Te1 0.500 0.362 0.555
As1 0.000 0.437 0.315
O1 0.500 0.094 0.947
# spin magnetization	0.00	μB/f.u.
# relative energy among the computed polymorphs	0.5	meV per atom